# PaMo2ClO8

An optimized crystal structure of PaMo2ClO8 (PBE with a Hubbard U, Alexandria).

E_tot (eV/cell): -89.4
Size of the total moment (Bohr magnetons per cell): 0.06

Cell lengths 6.604, 6.604, 5.765 Å; angles 90.27, 90.27, 59.94 degrees
Sites, in units of the cell vectors:
Mo: 0.333 0.333 0.756
Mo: 0.667 0.667 0.244
Pa: 0.000 0.000 0.000
O: 0.817 0.817 0.141
O: 0.817 0.365 0.143
O: 0.635 0.183 0.857
O: 0.331 0.331 0.457
O: 0.183 0.635 0.857
O: 0.669 0.669 0.543
O: 0.183 0.183 0.859
O: 0.365 0.817 0.143
Cl: 0.000 0.000 0.500